Record 1
A plane-wave DFT calculation with PBE was carried out for a relaxed P2PbClO crystal.

Values from the calculation:
Its crystal system is tetragonal. The calculation puts the uncorrected formation energy at 911 meV/atom. The value obtained for the relative energy among the computed polymorphs is 509 meV per atom. For the mass density, the calculation gives 4.2 g cm⁻³. As for the symmetry: P4/mmm, No. 123.

```
data_P2PbClO
_chemical_formula_sum 'P2 Pb1 Cl1 O1'
_cell_length_a 5.479
_cell_length_b 5.479
_cell_length_c 4.235
_cell_angle_alpha 90.00
_cell_angle_beta 90.00
_cell_angle_gamma 90.00
_space_group_name_H-M_alt 'P 1'
_space_group_IT_number 1
_space_group_name_Hall 'P 1'
loop_
_atom_site_label
_atom_site_type_symbol
_atom_site_fract_x
_atom_site_fract_y
_atom_site_fract_z
P1 P 0.000 0.500 0.000
P2 P 0.500 0.000 0.000
Cl1 Cl 0.500 0.500 0.500
Pb1 Pb 0.000 0.000 0.000
O1 O 0.000 0.000 0.500
```

=====

Record 2
A plane-wave DFT calculation with PBE was carried out for a relaxed PPbCl2O crystal.

Values from the calculation:
Its crystal system is tetragonal. The calculation puts the uncorrected formation energy at 759 meV/atom. The value obtained for the relative energy among the computed polymorphs is 986 meV per atom. For the mass density, the calculation gives 3.3 g cm⁻³. As for the symmetry: P4/mmm, No. 123.

```
data_PPbCl2O
_chemical_formula_sum 'P1 Pb1 Cl2 O1'
_cell_length_a 5.464
_cell_length_b 5.464
_cell_length_c 5.563
_cell_angle_alpha 90.00
_cell_angle_beta 90.00
_cell_angle_gamma 90.00
_space_group_name_H-M_alt 'P 1'
_space_group_IT_number 1
_space_group_name_Hall 'P 1'
loop_
_atom_site_label
_atom_site_type_symbol
_atom_site_fract_x
_atom_site_fract_y
_atom_site_fract_z
O1 O 0.500 0.500 0.500
P1 P 0.000 0.000 0.500
Pb1 Pb 0.000 0.000 0.000
Cl1 Cl 0.000 0.500 0.000
Cl2 Cl 0.500 0.000 0.000
```

=====

Record 3
A plane-wave DFT calculation with PBE was carried out for a relaxed P2PdClO crystal.

Values from the calculation:
Its crystal system is tetragonal. The calculation puts the uncorrected formation energy at 459 meV/atom. The value obtained for the relative energy among the computed polymorphs is 0 meV per atom. For the mass density, the calculation gives 4.4 g cm⁻³. As for the symmetry: P4/mmm, No. 123.

```
data_P2PdClO
_chemical_formula_sum 'P2 Pd1 Cl1 O1'
_cell_length_a 3.825
_cell_length_b 3.825
_cell_length_c 5.708
_cell_angle_alpha 90.00
_cell_angle_beta 90.00
_cell_angle_gamma 90.00
_space_group_name_H-M_alt 'P 1'
_space_group_IT_number 1
_space_group_name_Hall 'P 1'
loop_
_atom_site_label
_atom_site_type_symbol
_atom_site_fract_x
_atom_site_fract_y
_atom_site_fract_z
P1 P 0.000 0.500 0.000
P2 P 0.500 0.000 0.000
Cl1 Cl 0.000 0.000 0.500
Pd1 Pd 0.500 0.500 0.500
O1 O 0.000 0.000 0.000
```